PBE Na2AlCuP2, relaxed; spin magnetization = 0.00 Bohr magnetons per cell; formation energy from the elements = -468.1 meV/atom
1.0
5.505 0.000 0.000
0.000 5.797 0.000
-2.752 -2.898 6.885
P Al Na Cu
4 2 4 2
direct
0.840 0.103 0.207
0.160 0.897 0.793
0.633 0.397 0.793
0.367 0.603 0.207
0.500 0.750 0.000
0.500 0.250 0.000
0.592 0.822 0.643
0.408 0.178 0.357
0.051 0.322 0.643
0.949 0.678 0.357
0.000 0.750 0.000
0.000 0.250 0.000